1.
A plane-wave DFT calculation with PBE was carried out for crystalline Sm2WC3 at its relaxed geometry.

Calculated values
- V (Å³ per atom) = 15.413
- crystal system = monoclinic
- formation energy (eV/atom) = -0.057
- magnetic moment (μB/f.u.) = 0.0

Cell and atoms, written as POSCAR:
```
Sm2WC3
1.0
5.4429 -2.6993 0.0000
5.4429 2.6993 0.0000
-2.0531 0.0000 6.2942
Sm W C
4 2 6
Cartesian
1.7054 0.0088 0.5525 Sm
0.6788 -0.0088 3.6996 Sm
8.1539 0.0088 2.5946 Sm
7.1274 -0.0088 5.7416 Sm
3.9031 0.2895 4.7206 W
4.9297 -0.2895 1.5735 W
3.9031 2.1724 4.7206 C
1.9798 0.0449 5.8587 C
3.0063 -0.0449 2.7116 C
5.8264 0.0449 3.5825 C
6.8530 -0.0449 0.4354 C
4.9297 -2.1724 1.5735 C
```

2.
A plane-wave DFT calculation with PBE was carried out for crystalline Li5SbO5 at its relaxed geometry.

Calculated values
- V (Å³ per atom) = 10.099
- crystal system = monoclinic
- magnetic moment (μB/f.u.) = 0.0
- raw total energy (eV/atom) = -5.377

Cell and atoms, written as POSCAR:
```
Li5SbO5
1.0
4.9115 -2.0339 0.0000
4.9115 2.0339 0.0000
-1.9055 0.0000 5.5603
Li Sb O
5 1 5
Cartesian
0.0000 0.0000 0.0000 Li
2.5352 0.0000 0.8805 Li
1.8445 0.0000 3.5535 Li
6.0730 0.0000 2.0068 Li
5.3824 0.0000 4.6798 Li
-0.9528 0.0000 2.7801 Sb
0.7919 0.0000 1.8140 O
-0.0141 0.0000 4.5430 O
3.9588 0.0000 2.7801 O
7.9316 0.0000 1.0173 O
7.1257 0.0000 3.7463 O
```

3.
A plane-wave DFT calculation with PBE was carried out for crystalline Ac4Te2PI at its relaxed geometry.

Calculated values
- V (Å³ per atom) = 35.919
- crystal system = monoclinic
- magnetic moment (μB/f.u.) = 0.0
- raw total energy (eV/atom) = -5.065

Cell and atoms, written as POSCAR:
```
Ac4Te2PI
1.0
8.0489 0.0000 0.0000
0.0000 4.5877 0.0000
-2.6243 0.0000 7.7819
Ac Te P I
4 2 1 1
Cartesian
1.2207 0.0000 1.6802 Ac
-0.1246 2.2938 6.0399 Ac
5.5492 2.2938 1.7420 Ac
4.2039 0.0000 6.1018 Ac
4.0245 0.0000 0.0000 Te
2.7123 2.2938 3.8910 Te
0.0000 2.2938 0.0000 P
-1.3122 0.0000 3.8910 I
```

4.
A plane-wave DFT calculation with PBE was carried out for crystalline LaTmH2 at its relaxed geometry.

Calculated values
- V (Å³ per atom) = 16.239
- crystal system = trigonal
- magnetic moment (μB/f.u.) = 0.0
- raw total energy (eV/atom) = -4.316

Cell and atoms, written as POSCAR:
```
LaTmH2
1.0
1.7552 1.0133 6.0867
-1.7552 1.0133 6.0867
0.0000 -2.0267 6.0867
La Tm H
1 1 2
Cartesian
0.0000 0.0000 0.0000 La
0.0000 0.0000 3.2136 Tm
0.0000 0.0000 10.4780 H
0.0000 0.0000 14.2793 H
```

5.
A plane-wave DFT calculation with PBE was carried out for crystalline PaZnNi2 at its relaxed geometry.

Calculated values
- V (Å³ per atom) = 16.120
- crystal system = orthorhombic
- formation energy (eV/atom) = -0.327
- magnetic moment (μB/f.u.) = 0.0

Cell and atoms, written as POSCAR:
```
PaZnNi2
1.0
4.2517 0.0000 0.0000
0.0000 6.3008 0.0000
0.0000 0.0000 4.8138
Pa Zn Ni
2 2 4
Cartesian
1.0629 1.5752 0.8788 Pa
3.1888 4.7256 3.9351 Pa
1.0629 4.7256 1.4564 Zn
3.1888 1.5752 3.3575 Zn
1.0629 0.2448 3.2574 Ni
1.0629 2.9056 3.2574 Ni
3.1888 3.3952 1.5564 Ni
3.1888 6.0560 1.5564 Ni
```

6.
A plane-wave DFT calculation with PBE was carried out for crystalline CaTm2Fe at its relaxed geometry.

Calculated values
- V (Å³ per atom) = 26.098
- crystal system = tetragonal
- formation energy (eV/atom) = 0.042
- magnetic moment (μB/f.u.) = 0.0

Cell and atoms, written as POSCAR:
```
CaTm2Fe
1.0
3.3333 0.0000 0.0000
0.0000 3.3333 0.0000
0.0000 0.0000 9.3956
Ca Tm Fe
1 2 1
Cartesian
0.0000 0.0000 0.0000 Ca
1.6666 1.6666 3.1243 Tm
1.6666 1.6666 6.2713 Tm
0.0000 0.0000 4.6978 Fe
```